First-principles (PBE) data for a relaxed Sm8Ho2Sc3 crystal, as listed in Alexandria.

size of the total moment: 0.0000 μB per atom
space group: C2/m
energy of formation: 0.21 eV per atom
total energy: -63.2 eV for the cell shown

Cell: 10.559 10.559 5.573 Å, 90.01 90.01 42.13°
Element x y z (fractional)
Sm 0.104 0.694 0.000
Sm 0.170 0.170 0.500
Sm 0.306 0.896 0.000
Sm 0.375 0.375 0.500
Sm 0.625 0.625 0.500
Sm 0.694 0.104 0.000
Sm 0.830 0.830 0.500
Sm 0.896 0.306 0.000
Ho 0.261 0.261 0.001
Ho 0.739 0.739 0.999
Sc 0.206 0.794 0.500
Sc 0.500 0.500 0.000
Sc 0.794 0.206 0.500